A:
A plane-wave DFT calculation with GGA-PBE was carried out for BaLi2GaPd after structural relaxation.

```
data_BaLi2GaPd
_chemical_formula_sum 'Ba1 Li2 Ga1 Pd1'
_cell_length_a 4.963
_cell_length_b 4.963
_cell_length_c 4.970
_cell_angle_alpha 90.00
_cell_angle_beta 90.00
_cell_angle_gamma 90.00
_space_group_name_H-M_alt 'P 4/m m m'
_space_group_IT_number 123
_space_group_name_Hall '-P 4 2'
loop_
_atom_site_label
_atom_site_type_symbol
_atom_site_fract_x
_atom_site_fract_y
_atom_site_fract_z
Ba1 Ba 0.000 0.000 0.000
Li1 Li 0.000 0.500 0.500
Ga1 Ga 0.500 0.500 0.500
Pd1 Pd 0.500 0.500 0.000
```

Values from the calculation:
* theoretical density: 4.44 g cm⁻³

B:
A plane-wave DFT calculation with GGA-PBE was carried out for BaLi2GaPd after structural relaxation.

```
data_BaLi2GaPd
_chemical_formula_sum 'Ba1 Li2 Ga1 Pd1'
_cell_length_a 5.028
_cell_length_b 5.028
_cell_length_c 4.896
_cell_angle_alpha 90.00
_cell_angle_beta 90.00
_cell_angle_gamma 90.00
_space_group_name_H-M_alt 'P 4/m m m'
_space_group_IT_number 123
_space_group_name_Hall '-P 4 2'
loop_
_atom_site_label
_atom_site_type_symbol
_atom_site_fract_x
_atom_site_fract_y
_atom_site_fract_z
Ba1 Ba 0.000 0.000 0.000
Li1 Li 0.000 0.500 0.500
Ga1 Ga 0.500 0.500 0.000
Pd1 Pd 0.500 0.500 0.500
```

Values from the calculation:
* theoretical density: 4.39 g cm⁻³

Result of the stability comparison: B is the most stable of them.

A:
A plane-wave DFT calculation with GGA-PBE was carried out for Ba2LiGaPt after structural relaxation.

```
data_Ba2LiGaPt
_chemical_formula_sum 'Ba2 Li1 Ga1 Pt1'
_cell_length_a 6.108
_cell_length_b 6.108
_cell_length_c 4.732
_cell_angle_alpha 90.00
_cell_angle_beta 90.00
_cell_angle_gamma 90.00
_space_group_name_H-M_alt 'P 4/m m m'
_space_group_IT_number 123
_space_group_name_Hall '-P 4 2'
loop_
_atom_site_label
_atom_site_type_symbol
_atom_site_fract_x
_atom_site_fract_y
_atom_site_fract_z
Ba1 Ba 0.000 0.500 0.000
Li1 Li 0.000 0.000 0.500
Ga1 Ga 0.000 0.000 0.000
Pt1 Pt 0.500 0.500 0.500
```

Values from the calculation:
* theoretical density: 5.14 g cm⁻³

B:
A plane-wave DFT calculation with GGA-PBE was carried out for Ba2LiGaPt after structural relaxation.

```
data_Ba2LiGaPt
_chemical_formula_sum 'Ba2 Li1 Ga1 Pt1'
_cell_length_a 6.246
_cell_length_b 6.246
_cell_length_c 4.884
_cell_angle_alpha 90.00
_cell_angle_beta 90.00
_cell_angle_gamma 90.00
_space_group_name_H-M_alt 'P 4/m m m'
_space_group_IT_number 123
_space_group_name_Hall '-P 4 2'
loop_
_atom_site_label
_atom_site_type_symbol
_atom_site_fract_x
_atom_site_fract_y
_atom_site_fract_z
Ba1 Ba 0.000 0.500 0.000
Li1 Li 0.000 0.000 0.500
Ga1 Ga 0.500 0.500 0.500
Pt1 Pt 0.500 0.500 0.000
```

Values from the calculation:
* theoretical density: 4.76 g cm⁻³

Result of the stability comparison: B is the most stable of them.